(1)
Here is a relaxed structure of TaMn2Ag from Alexandria. Energies are from GGA-PBE.

Cell: 8.9501 2.8646 5.0697 Å, 90.00 100.81 90.00°
Last column: nearest neighbours and their distance in Å.
Space group C2/m (No. 12)
Inequivalent atoms, fractional coordinates:
1 Ta 0.0000 0.0000 0.0000 x2  6 Mn 2.72-2.73, 2 Ta 2.86, 4 Ag 2.91
2 Mn 0.2502 0.0000 0.7665 x4  3 Ta 2.72-2.73, 4 Mn 2.77-2.86, 3 Ag 2.78-2.82
3 Ag 0.0000 0.5000 0.5000 x2  6 Mn 2.78-2.82, 2 Ag 2.86, 4 Ta 2.91

* density of states at the Fermi level: 3.83 states/eV/f.u.
* energy above the lowest structure with this stoichiometry: 193 meV per atom
* DFT total energy: -7.885 eV per atom
* mass density: 10.37 g/cm³



(2)
Here is a relaxed structure of TaMnAg2 from Alexandria. Energies are from GGA-PBE.

Cell: 3.7347 3.7347 20.3117 Å, 90.00 90.00 90.00°
Last column: nearest neighbours and their distance in Å.
Space group I-42d (No. 122)
Inequivalent atoms, fractional coordinates:
1 Ta 0.0000 0.0000 0.0000 x4  4 Mn 2.64, 4 Ag 2.87
2 Mn 0.0000 0.0000 0.5000 x4  4 Ta 2.64, 4 Ag 2.86
3 Ag 0.2454 0.2500 0.6250 x8  4 Ag 2.62-2.67, 2 Mn 2.86, 2 Ta 2.87

* density of states at the Fermi level: 2.69 states/eV/f.u.
* energy above the lowest structure with this stoichiometry: 495 meV per atom
* DFT total energy: -5.986 eV per atom
* mass density: 10.59 g/cm³



(3)
Here is a relaxed structure of TaMnAg2 from Alexandria. Energies are from GGA-PBE.

Cell: 2.7582 4.7977 5.1425 Å, 90.00 99.38 90.00°
Last column: nearest neighbours and their distance in Å.
Space group P2/m (No. 10)
Inequivalent atoms, fractional coordinates:
1 Ta 0.0000 0.0000 0.0000 x1  2 Mn 2.71, 2 Ta 2.76, 4 Ag 2.93
2 Mn 0.5000 0.0000 0.5000 x1  2 Ta 2.71, 2 Mn 2.76, 4 Ag 2.80
3 Ag 0.3033 0.5000 0.7425 x2  5 Ag 2.69-2.88, 2 Mn 2.80, 2 Ta 2.93

* density of states at the Fermi level: 3.36 states/eV/f.u.
* energy above the lowest structure with this stoichiometry: 194 meV per atom
* DFT total energy: -6.287 eV per atom
* mass density: 11.17 g/cm³



(4)
Here is a relaxed structure of Ta3MnAg from Alexandria. Energies are from GGA-PBE.

Cell: 4.8312 4.8312 4.8312 Å, 90.00 90.00 90.00°
Last column: nearest neighbours and their distance in Å.
Space group Pm-3m (No. 221)
Inequivalent atoms, fractional coordinates:
1 Ta 0.0000 0.0000 0.5000 x3  2 Ag 2.42
2 Mn 0.5000 0.5000 0.5000 x1  12 Ta 3.42
3 Ag 0.0000 0.0000 0.0000 x1  6 Ta 2.42

* density of states at the Fermi level: 9.80 states/eV/f.u.
* energy above the lowest structure with this stoichiometry: 1652 meV per atom
* DFT total energy: -7.015 eV per atom
* mass density: 10.39 g/cm³



(5)
Here is a relaxed structure of TaMn2Ag from Alexandria. Energies are from GGA-PBE.

Cell: 2.8232 2.8232 27.8345 Å, 90.00 90.00 120.00°
Last column: nearest neighbours and their distance in Å.
Space group R3m (No. 160, hexagonal axes)
Inequivalent atoms, fractional coordinates:
1 Ta 0.0000 0.0000 0.0000 x3  3 Mn 2.80, 6 Ta 2.82, 3 Ag 3.03
2 Mn 0.0000 0.0000 0.4907 x3  9 Mn 2.66-2.82, 3 Ag 2.85
3 Mn 0.0000 0.0000 0.7485 x3  9 Mn 2.66-2.82, 3 Ta 2.80
4 Ag 0.0000 0.0000 0.2414 x3  6 Ag 2.82, 3 Mn 2.85, 3 Ta 3.03

* density of states at the Fermi level: 3.11 states/eV/f.u.
* energy above the lowest structure with this stoichiometry: 197 meV per atom
* DFT total energy: -7.881 eV per atom
* mass density: 10.34 g/cm³



(6)
Here is a relaxed structure of TaMn2Ag from Alexandria. Energies are from GGA-PBE.

Cell: 2.8673 2.8673 27.1890 Å, 90.00 90.00 120.00°
Last column: nearest neighbours and their distance in Å.
Space group R-3m (No. 166, hexagonal axes)
Inequivalent atoms, fractional coordinates:
1 Ta 0.0000 0.0000 0.0000 x3  6 Mn 2.77, 6 Ta 2.87
2 Mn 0.0000 0.0000 0.2517 x6  3 Ta 2.77, 3 Ag 2.84, 6 Mn 2.87
3 Ag 0.0000 0.0000 0.5000 x3  6 Mn 2.84, 6 Ag 2.87

* density of states at the Fermi level: 3.56 states/eV/f.u.
* energy above the lowest structure with this stoichiometry: 162 meV per atom
* DFT total energy: -7.916 eV per atom
* mass density: 10.26 g/cm³



(7)
Here is a relaxed structure of TaMnAg2 from Alexandria. Energies are from GGA-PBE.

Cell: 3.8002 3.8002 4.5431 Å, 90.00 90.00 90.00°
Last column: nearest neighbours and their distance in Å.
Space group P4/mmm (No. 123)
Inequivalent atoms, fractional coordinates:
1 Ta 0.0000 0.0000 0.0000 x1  4 Mn 2.69, 8 Ag 2.96
2 Mn 0.5000 0.5000 0.0000 x1  4 Ta 2.69, 8 Ag 2.96
3 Ag 0.0000 0.5000 0.5000 x2  4 Ag 2.69, 4 Ta 2.96, 4 Mn 2.96

* density of states at the Fermi level: 4.49 states/eV/f.u.
* energy above the lowest structure with this stoichiometry: 259 meV per atom
* DFT total energy: -6.221 eV per atom
* mass density: 11.43 g/cm³



(8)
Here is a relaxed structure of TaMnAg2 from Alexandria. Energies are from GGA-PBE.

Cell: 2.8364 4.3311 5.4607 Å, 90.00 90.00 90.00°
Last column: nearest neighbours and their distance in Å.
Space group Pmmm (No. 47)
Inequivalent atoms, fractional coordinates:
1 Ta 0.0000 0.0000 0.0000 x1  2 Mn 2.73, 2 Ta 2.84, 8 Ag 2.93
2 Mn 0.0000 0.0000 0.5000 x1  2 Ta 2.73, 2 Mn 2.84, 8 Ag 2.92
3 Ag 0.5000 0.5000 0.2528 x2  4 Ag 2.70-2.84, 4 Mn 2.92, 4 Ta 2.93

* density of states at the Fermi level: 3.53 states/eV/f.u.
* energy above the lowest structure with this stoichiometry: 212 meV per atom
* DFT total energy: -6.268 eV per atom
* mass density: 11.18 g/cm³



(9)
Here is a relaxed structure of TaMnAg2 from Alexandria. Energies are from GGA-PBE.

Cell: 9.4621 2.8355 5.1236 Å, 90.00 100.99 90.00°
Last column: nearest neighbours and their distance in Å.
Space group Cm (No. 8)
Inequivalent atoms, fractional coordinates:
1 Ta 0.0000 0.0000 0.0000 x2  3 Mn 2.71-2.91, 2 Ta 2.84, 7 Ag 2.89-2.97
2 Mn 0.2626 0.0000 0.7812 x2  3 Ta 2.71-2.91, 2 Mn 2.84, 7 Ag 2.85-2.97
3 Ag 0.0156 0.5000 0.5145 x2  5 Ag 2.82-2.88, 3 Mn 2.85-2.97, 4 Ta 2.89-2.97
4 Ag 0.2591 0.5000 0.2721 x2  5 Ag 2.82-2.88, 3 Ta 2.89-2.94, 4 Mn 2.89-2.96

* density of states at the Fermi level: 2.48 states/eV/f.u.
* energy above the lowest structure with this stoichiometry: 153 meV per atom
* DFT total energy: -6.327 eV per atom
* mass density: 11.12 g/cm³



(10)
Here is a relaxed structure of TaMnAg2 from Alexandria. Energies are from GGA-PBE.

Cell: 4.9718 4.9718 2.8430 Å, 90.00 90.00 90.00°
Last column: nearest neighbours and their distance in Å.
Space group P4/mmm (No. 123)
Inequivalent atoms, fractional coordinates:
1 Ta 0.0000 0.0000 0.0000 x1  2 Ta 2.84, 8 Ag 2.86
2 Mn 0.5000 0.5000 0.0000 x1  2 Mn 2.84, 8 Ag 2.86
3 Ag 0.0000 0.5000 0.5000 x2  2 Ag 2.84, 4 Mn 2.86, 4 Ta 2.86

* density of states at the Fermi level: 4.02 states/eV/f.u.
* energy above the lowest structure with this stoichiometry: 337 meV per atom
* DFT total energy: -6.143 eV per atom
* mass density: 10.67 g/cm³



(11)
Here is a relaxed structure of TaMn4Ag from Alexandria. Energies are from GGA-PBE.

Cell: 6.7885 6.7885 6.7885 Å, 90.00 90.00 90.00°
Last column: nearest neighbours and their distance in Å.
Space group F-43m (No. 216)
Inequivalent atoms, fractional coordinates:
1 Ta 0.0000 0.0000 0.0000 x4  12 Mn 2.82, 4 Ag 2.94
2 Mn 0.1238 0.1238 0.3762 x16  6 Mn 2.38-2.42
3 Ag 0.2500 0.2500 0.7500 x4  12 Mn 2.81, 4 Ta 2.94

* density of states at the Fermi level: 7.39 states/eV/f.u.
* DFT total energy: -8.434 eV per atom
* mass density: 10.80 g/cm³



(12)
Here is a relaxed structure of TaMnAg3 from Alexandria. Energies are from GGA-PBE.

Cell: 4.6570 4.6570 4.6570 Å, 90.00 90.00 90.00°
Last column: nearest neighbours and their distance in Å.
Space group Pm-3m (No. 221)
Inequivalent atoms, fractional coordinates:
1 Ta 0.0000 0.0000 0.0000 x1  12 Ag 3.29
2 Mn 0.5000 0.5000 0.5000 x1  6 Ag 2.33
3 Ag 0.0000 0.5000 0.5000 x3  2 Mn 2.33

* density of states at the Fermi level: 11.28 states/eV/f.u.
* energy above the lowest structure with this stoichiometry: 0 meV per atom
* DFT total energy: -4.117 eV per atom
* mass density: 9.20 g/cm³



(13)
Here is a relaxed structure of TaMnAg from Alexandria. Energies are from GGA-PBE.

Cell: 3.2023 3.2023 9.4452 Å, 90.00 90.00 90.00°
Last column: nearest neighbours and their distance in Å.
Space group I4mm (No. 107)
Inequivalent atoms, fractional coordinates:
1 Ta 0.0000 0.0000 0.0000 x2  4 Mn 2.55
2 Mn 0.0000 0.0000 0.6242 x2  4 Ta 2.55, 4 Ag 2.84
3 Ag 0.0000 0.0000 0.3055 x2  5 Mn 2.84-3.01, 5 Ta 2.89-2.92

* density of states at the Fermi level: 2.47 states/eV/f.u.
* energy above the lowest structure with this stoichiometry: 46 meV per atom
* DFT total energy: -7.652 eV per atom
* mass density: 11.79 g/cm³



(14)
Here is a relaxed structure of TaMnAg2 from Alexandria. Energies are from GGA-PBE.

Cell: 6.3788 6.3788 6.3788 Å, 90.00 90.00 90.00°
Last column: nearest neighbours and their distance in Å.
Space group Fm-3m (No. 225)
Inequivalent atoms, fractional coordinates:
1 Ta 0.0000 0.0000 0.0000 x4  8 Ag 2.76
2 Mn 0.0000 0.0000 0.5000 x4  8 Ag 2.76
3 Ag 0.2500 0.2500 0.2500 x8  4 Mn 2.76, 4 Ta 2.76

* density of states at the Fermi level: 8.75 states/eV/f.u.
* energy above the lowest structure with this stoichiometry: 647 meV per atom
* DFT total energy: -5.834 eV per atom
* mass density: 11.56 g/cm³



(15)
Here is a relaxed structure of TaMn2Ag from Alexandria. Energies are from GGA-PBE.

Cell: 4.1993 4.1993 3.3813 Å, 90.00 90.00 90.00°
Last column: nearest neighbours and their distance in Å.
Space group P4/mmm (No. 123)
Inequivalent atoms, fractional coordinates:
1 Ta 0.0000 0.0000 0.0000 x1  8 Mn 2.70, 4 Ag 2.97
2 Mn 0.0000 0.5000 0.5000 x2  4 Ta 2.70, 4 Ag 2.70, 4 Mn 2.97
3 Ag 0.5000 0.5000 0.0000 x1  8 Mn 2.70, 4 Ta 2.97

* density of states at the Fermi level: 2.59 states/eV/f.u.
* energy above the lowest structure with this stoichiometry: 54 meV per atom
* DFT total energy: -8.025 eV per atom
* mass density: 11.10 g/cm³



(16)
Here is a relaxed structure of TaMnAg from Alexandria. Energies are from GGA-PBE.

Cell: 6.1411 6.1411 6.1411 Å, 90.00 90.00 90.00°
Last column: nearest neighbours and their distance in Å.
Space group F-43m (No. 216)
Inequivalent atoms, fractional coordinates:
1 Ta 0.0000 0.0000 0.0000 x4  4 Mn 2.66, 4 Ag 2.66
2 Mn 0.2500 0.2500 0.7500 x4  4 Ta 2.66
3 Ag 0.2500 0.2500 0.2500 x4  4 Ta 2.66

* density of states at the Fermi level: 4.60 states/eV/f.u.
* energy above the lowest structure with this stoichiometry: 884 meV per atom
* DFT total energy: -6.813 eV per atom
* mass density: 9.86 g/cm³



(17)
Here is a relaxed structure of TaMn2Ag from Alexandria. Energies are from GGA-PBE.

Cell: 3.1562 3.2189 6.0282 Å, 90.00 90.00 90.00°
Last column: nearest neighbours and their distance in Å.
Space group Pmmm (No. 47)
Inequivalent atoms, fractional coordinates:
1 Ta 0.0000 0.0000 0.0000 x1  8 Mn 2.65
2 Mn 0.5000 0.5000 0.2304 x2  4 Ta 2.65, 1 Mn 2.78, 4 Ag 2.78
3 Ag 0.0000 0.0000 0.5000 x1  8 Mn 2.78, 2 Ta 3.01

* density of states at the Fermi level: 2.90 states/eV/f.u.
* energy above the lowest structure with this stoichiometry: 0 meV per atom
* DFT total energy: -8.079 eV per atom
* mass density: 10.81 g/cm³



(18)
Here is a relaxed structure of TaMnAg2 from Alexandria. Energies are from GGA-PBE.

Cell: 9.9162 2.8324 4.8241 Å, 90.00 99.69 90.00°
Last column: nearest neighbours and their distance in Å.
Space group C2/m (No. 12)
Inequivalent atoms, fractional coordinates:
1 Ta 0.0000 0.0000 0.0000 x2  4 Mn 2.80, 2 Ta 2.83, 6 Ag 2.91-2.96
2 Mn 0.0000 0.5000 0.5000 x2  4 Ta 2.80, 2 Mn 2.83, 6 Ag 2.90-2.96
3 Ag 0.2467 0.0000 0.7472 x4  6 Ag 2.78-2.83, 3 Mn 2.90-2.96, 3 Ta 2.91-2.96

* density of states at the Fermi level: 2.17 states/eV/f.u.
* energy above the lowest structure with this stoichiometry: 149 meV per atom
* DFT total energy: -6.331 eV per atom
* mass density: 11.23 g/cm³



(19)
Here is a relaxed structure of TaMn2Ag from Alexandria. Energies are from GGA-PBE.

Cell: 3.0290 4.3131 9.1622 Å, 90.00 90.00 90.00°
Last column: nearest neighbours and their distance in Å.
Space group Imm2 (No. 44)
Inequivalent atoms, fractional coordinates:
1 Ta 0.0000 0.0000 0.0000 x2  6 Mn 2.64-2.88, 2 Ag 2.92
2 Mn 0.0000 0.0000 0.5241 x2  2 Mn 2.44, 4 Ta 2.64
3 Mn 0.0000 0.5000 0.2322 x2  2 Mn 2.44, 4 Ag 2.66
4 Ag 0.0000 0.5000 0.7729 x2  6 Mn 2.66-2.75, 2 Ta 2.92

* density of states at the Fermi level: 3.63 states/eV/f.u.
* energy above the lowest structure with this stoichiometry: 148 meV per atom
* DFT total energy: -7.930 eV per atom
* mass density: 11.06 g/cm³



(20)
Here is a relaxed structure of TaMn2Ag from Alexandria. Energies are from GGA-PBE.

Cell: 3.8040 3.8040 8.4773 Å, 90.00 90.00 90.00°
Last column: nearest neighbours and their distance in Å.
Space group I-4m2 (No. 119)
Inequivalent atoms, fractional coordinates:
1 Ta 0.0000 0.0000 0.0000 x2  8 Mn 2.69-2.85, 4 Ag 2.85
2 Mn 0.0000 0.0000 0.5000 x2  4 Ta 2.69, 4 Mn 2.85, 4 Ag 2.85
3 Mn 0.0000 0.5000 0.2500 x2  4 Ag 2.69, 4 Ta 2.85, 4 Mn 2.85
4 Ag 0.0000 0.5000 0.7500 x2  8 Mn 2.69-2.85, 4 Ta 2.85

* density of states at the Fermi level: 2.46 states/eV/f.u.
* energy above the lowest structure with this stoichiometry: 88 meV per atom
* DFT total energy: -7.990 eV per atom
* mass density: 10.79 g/cm³